Record 1
A relaxed Ti8GaPt2 crystal, computed with PBE.

Calculated values
Total magnetization: 0.000 μB/f.u.
E: -7.5914 eV/atom
SG: C2/m
Calculated volume: 178.7 Å³ per cell
Formation energy from the elements: -0.476 eV/atom

Geometry as POSCAR:
```
Ti8GaPt2
1.0
7.011 -2.036 0.000
7.011 2.036 0.000
-2.331 0.000 6.262
Ti Ga Pt
8 1 2
Cartesian
0.151 0.000 1.515
0.351 0.000 4.355
3.096 0.000 3.522
5.639 0.000 0.313
6.051 0.000 5.949
8.594 0.000 2.740
11.339 0.000 1.907
11.539 0.000 4.746
5.845 0.000 3.131
2.796 0.000 0.808
8.894 0.000 5.453
```

Record 2
A relaxed Sr3Ni5Te12 crystal, computed with PBE.

Calculated values
Raw formation energy: -414.6 meV/atom
Total magnetization: 0.000 μB/f.u.
E: -3.9972 eV/atom
SG: Ia-3d
Calculated volume: 2332.0 Å³ per cell

Geometry as POSCAR:
```
Sr3Ni5Te12
1.0
-8.354 8.354 8.354
8.354 -8.354 8.354
8.354 8.354 -8.354
Sr Ni Te
12 20 48
Cartesian
4.177 2.088 0.000
8.354 4.177 -2.088
2.088 0.000 4.177
10.442 0.000 4.177
0.000 4.177 2.088
4.177 -2.088 8.354
4.177 10.442 0.000
8.354 4.177 6.265
-2.088 8.354 4.177
6.265 8.354 4.177
0.000 4.177 10.442
4.177 6.265 8.354
0.000 0.000 0.000
4.177 4.177 -4.177
4.177 -4.177 4.177
8.354 0.000 0.000
12.531 2.088 0.000
8.354 -4.177 6.265
6.265 8.354 -4.177
6.265 0.000 4.177
4.177 6.265 0.000
8.354 4.177 2.088
-4.177 4.177 4.177
0.000 8.354 0.000
0.000 0.000 8.354
4.177 4.177 4.177
0.000 4.177 6.265
4.177 2.088 8.354
2.088 8.354 4.177
2.088 0.000 12.531
0.000 12.531 2.088
-4.177 6.265 8.354
2.374 -0.632 0.894
10.157 5.071 -4.809
7.722 -0.894 2.374
13.162 -1.803 3.283
10.728 0.632 0.894
10.157 -3.283 4.809
0.894 2.374 -0.632
11.637 3.545 -1.803
5.071 4.809 -1.803
7.460 2.374 0.632
-0.632 0.894 2.374
4.809 -1.803 5.071
7.722 7.460 -2.374
4.809 1.803 3.283
7.460 -2.374 7.722
5.071 -4.809 10.157
3.283 4.809 1.803
9.248 5.980 0.632
2.374 7.722 -0.894
10.157 3.283 3.545
4.809 10.157 -3.283
7.722 0.894 5.980
1.803 3.283 4.809
2.374 0.632 7.460
5.980 7.722 0.894
6.551 5.071 3.545
0.632 7.460 2.374
3.545 -1.803 11.637
-1.803 5.071 4.809
5.980 0.632 9.248
-0.894 2.374 7.722
5.071 3.545 6.551
3.283 13.162 -1.803
0.894 10.728 0.632
3.545 6.551 5.071
0.632 0.894 10.728
3.545 10.157 3.283
8.986 7.460 5.980
0.894 5.980 7.722
3.283 3.545 10.157
-3.283 4.809 10.157
7.460 5.980 8.986
-1.803 11.637 3.545
-2.374 7.722 7.460
-4.809 10.157 5.071
0.632 9.248 5.980
-1.803 3.283 13.162
5.980 8.986 7.460
```

Record 3
A relaxed Sm6Si3N crystal, computed with PBE.

Calculated values
Raw formation energy: -682.5 meV/atom
Total magnetization: 0.001 μB/f.u.
E: -5.9734 eV/atom
SG: P2_1/c
Calculated volume: 502.9 Å³ per cell

Geometry as POSCAR:
```
Sm6Si3N
1.0
6.439 0.000 0.000
0.000 7.784 0.000
-6.237 0.000 10.035
Sm Si N
12 6 2
Cartesian
-0.824 0.379 2.346
-3.943 3.513 7.364
0.915 5.494 0.622
-2.203 6.182 5.640
2.086 1.277 0.598
-1.032 2.614 5.616
1.234 5.169 4.420
-1.884 6.506 9.437
2.405 1.602 4.395
-0.713 2.290 9.413
4.145 4.271 2.671
1.027 7.405 7.689
-2.664 0.841 7.518
0.455 3.050 2.500
0.101 0.000 5.018
3.219 3.892 0.000
-0.252 4.733 7.536
2.866 6.942 2.518
0.000 0.000 0.000
-3.118 3.892 5.018
```

Record 4
A relaxed DyGeF crystal, computed with PBE.

Calculated values
Raw formation energy: -1779.6 meV/atom
Total magnetization: 0.000 μB/f.u.
E: -5.4766 eV/atom
SG: P-6m2
Calculated volume: 61.0 Å³ per cell

Geometry as POSCAR:
```
DyGeF
1.0
3.835 0.000 0.000
-1.918 3.321 0.000
0.000 0.000 4.786
Dy Ge F
1 1 1
Cartesian
0.000 0.000 0.000
0.000 2.214 2.393
1.918 1.107 0.000
```

Record 5
A relaxed Pr4RuSCl2 crystal, computed with PBE.

Calculated values
Raw formation energy: -1289.8 meV/atom
Total magnetization: 0.000 μB/f.u.
E: -5.8166 eV/atom
SG: P2/m
Calculated volume: 216.5 Å³ per cell

Geometry as POSCAR:
```
Pr4RuSCl2
1.0
7.403 0.000 0.000
0.000 4.031 0.000
-2.193 0.000 7.255
Pr Ru S Cl
4 1 1 2
Cartesian
1.202 0.000 1.538
0.175 2.015 5.722
5.035 2.015 1.533
4.007 0.000 5.717
0.000 2.015 0.000
3.702 0.000 0.000
-1.097 0.000 3.627
2.605 2.015 3.627
```

Record 6
A relaxed Tb5Si2Te crystal, computed with PBE.

Calculated values
Raw formation energy: -749.7 meV/atom
Total magnetization: 1.508 μB/f.u.
E: -5.3921 eV/atom
SG: I4/mcm
Calculated volume: 412.2 Å³ per cell

Geometry as POSCAR:
```
Tb5Si2Te
1.0
-3.893 3.893 6.800
3.893 -3.893 6.800
3.893 3.893 -6.800
Tb Si Te
10 4 2
Cartesian
0.000 0.000 0.000
5.118 1.225 -1.896
1.225 2.668 -1.896
5.118 1.225 1.896
1.225 2.668 1.896
0.000 0.000 6.800
2.668 1.225 4.904
-1.225 2.668 4.904
2.668 1.225 8.697
-1.225 2.668 8.697
2.778 1.115 0.000
2.778 -1.115 6.800
1.115 5.008 0.000
1.115 2.778 6.800
0.000 0.000 3.400
0.000 0.000 10.200
```

Record 7
A relaxed RbZnPb crystal, computed with PBE.

Calculated values
E above lowest polymorph: 0.000 eV/atom
Total magnetization: 0.000 μB/f.u.
E: -1.9968 eV/atom
SG: Pnma
Calculated volume: 429.5 Å³ per cell
Formation energy from the elements: -0.013 eV/atom

Geometry as POSCAR:
```
RbZnPb
1.0
13.613 0.000 0.000
0.000 4.453 0.000
0.000 0.000 7.086
Rb Zn Pb
4 4 4
Cartesian
2.844 1.113 1.551
3.963 3.340 5.094
9.650 1.113 1.992
10.770 3.340 5.535
0.487 3.340 6.666
6.320 1.113 3.123
7.294 3.340 3.964
13.126 1.113 0.420
0.635 1.113 4.752
6.172 3.340 1.209
7.442 1.113 5.877
12.978 3.340 2.334
```

Record 8
A relaxed DyScBeIn crystal, computed with PBE.

Calculated values
Total magnetization: 0.001 μB/f.u.
E: -4.4770 eV/atom
SG: F-43m
Calculated volume: 86.5 Å³ per cell
Formation energy from the elements: -0.127 eV/atom

Geometry as POSCAR:
```
DyScBeIn
1.0
0.000 3.510 3.510
3.510 0.000 3.510
3.510 3.510 0.000
Dy Sc Be In
1 1 1 1
Cartesian
0.000 0.000 0.000
3.510 3.510 3.510
5.266 5.266 5.266
1.755 1.755 1.755
```

Record 9
A relaxed DyAlHg crystal, computed with PBE.

Calculated values
E above lowest polymorph: 0.126 eV/atom
Total magnetization: 0.000 μB/f.u.
E: -3.2188 eV/atom
SG: F-43m
Calculated volume: 75.4 Å³ per cell
Formation energy from the elements: -0.337 eV/atom

Geometry as POSCAR:
```
DyAlHg
1.0
0.000 3.354 3.354
3.354 0.000 3.354
3.354 3.354 0.000
Dy Al Hg
1 1 1
Cartesian
0.000 0.000 0.000
3.354 3.354 3.354
5.030 5.030 5.030
```

Record 10
A relaxed HfTiCd4 crystal, computed with PBE.

Calculated values
Total magnetization: 0.959 μB/f.u.
E: -3.5854 eV/atom
SG: C2/m
Calculated volume: 123.2 Å³ per cell
Formation energy from the elements: -0.001 eV/atom

Geometry as POSCAR:
```
HfTiCd4
1.0
6.633 -1.546 0.000
6.633 1.546 0.000
-1.426 0.000 6.010
Hf Ti Cd
1 1 4
Cartesian
0.000 0.000 0.000
-0.713 0.000 3.005
4.196 0.000 1.041
3.524 0.000 3.986
8.315 0.000 2.024
7.643 0.000 4.969
```

Record 11
A relaxed DyTmNiIr crystal, computed with PBE.

Calculated values
Total magnetization: 0.000 μB/f.u.
E: -6.6165 eV/atom
SG: F-43m
Calculated volume: 77.5 Å³ per cell
Formation energy from the elements: -0.687 eV/atom

Geometry as POSCAR:
```
DyTmNiIr
1.0
0.000 3.384 3.384
3.384 0.000 3.384
3.384 3.384 0.000
Dy Tm Ni Ir
1 1 1 1
Cartesian
0.000 0.000 0.000
3.384 3.384 3.384
1.692 1.692 1.692
5.076 5.076 5.076
```

Record 12
A relaxed CePaInRe crystal, computed with PBE.

Calculated values
Total magnetization: 0.000 μB/f.u.
E: -7.7972 eV/atom
SG: P4mm
Calculated volume: 95.0 Å³ per cell
Formation energy from the elements: -0.143 eV/atom

Geometry as POSCAR:
```
CePaInRe
1.0
3.271 0.000 0.000
0.000 3.271 0.000
0.000 0.000 8.882
Ce Pa In Re
1 1 1 1
Cartesian
0.000 0.000 0.000
0.000 0.000 5.200
1.635 1.635 2.615
1.635 1.635 6.942
```

Look up the total magnetization of the twelfth one.
0.000 μB/f.u.

Look up the E of the tenth one.
-3.5854 eV/atom